Here is an optimized crystal structure of AcPaSnGe from Alexandria. Energies are from PBE.

Summary:
**Symmetry**: F-43m, No. 216
**E**: -22.9 eV per cell

Geometry as extended XYZ:
```
4
Lattice="5.4225 0.0000 0.0000 2.7112 4.6960 0.0000 2.7112 1.5653 4.4275" Properties=species:S:1:pos:R:3 pbc="T T T"
Ac 5.4225 3.1307 2.2137
Ge 8.1337 4.6960 3.3206
Pa 0.0000 0.0000 0.0000
Sn 2.7112 1.5653 1.1069
```

Here is an optimized crystal structure of AcPaTcGe2 from Alexandria. Energies are from PBE.

Summary:
**Symmetry**: I-4m2, No. 119
**E**: -35.4 eV per cell

Geometry as extended XYZ:
```
5
Lattice="4.1564 0.0000 0.0000 0.0000 4.1564 0.0000 -2.0782 -2.0782 6.8244" Properties=species:S:1:pos:R:3 pbc="T T T"
Tc 0.0000 2.0782 3.4122
Ac 0.0000 0.0000 0.0000
Ge 2.0782 2.0782 1.4253
Ge 0.0000 0.0000 5.3991
Pa 2.0782 0.0000 3.4122
```

Here is an optimized crystal structure of AcPaZnGe from Alexandria. Energies are from PBE.

Summary:
**Symmetry**: F-43m, No. 216
**E**: -19.8 eV per cell

Geometry as extended XYZ:
```
4
Lattice="5.2551 0.0000 0.0000 2.6276 4.5511 0.0000 2.6276 1.5170 4.2908" Properties=species:S:1:pos:R:3 pbc="T T T"
Ac 7.8827 4.5511 3.2181
Pa 2.6276 1.5170 1.0727
Zn 5.2551 3.0341 2.1454
Ge 0.0000 0.0000 0.0000
```

Here is an optimized crystal structure of Ac3GePb2 from Alexandria. Energies are from PBE.

Summary:
**Symmetry**: C2/c, No. 15
**Energy relative to the lowest polymorph listed for this composition**: 0.068 eV/atom

Geometry as extended XYZ:
```
12
Lattice="-3.5723 2.0276 5.4065 -6.8727 -2.7052 -3.5265 4.6015 -7.6043 1.6286" Properties=species:S:1:pos:R:3 pbc="T T T"
Ge -8.5692 -0.0907 2.5232
Ge -1.8757 -0.5869 -0.6431
Pb -1.0805 -5.3491 1.5141
Pb -4.7630 -2.9328 1.9945
Pb -1.5126 -1.4747 4.0392
Pb -4.3308 -6.8073 -0.5306
Ac 0.2653 -2.1329 1.1681
Ac -2.8341 -4.7047 4.3484
Ac -6.1087 -6.1490 2.3405
Ac -6.8421 -1.0711 -0.0908
Ac -3.0094 -3.5773 -0.8398
Ac -3.6029 0.3934 1.9708
```

Here is an optimized crystal structure of Ac4GePb2 from Alexandria. Energies are from PBE.

Summary:
**Symmetry**: I4/mmm, No. 139
**Energy relative to the lowest polymorph listed for this composition**: 0.212 eV/atom

Geometry as extended XYZ:
```
7
Lattice="5.8329 0.0000 0.0000 0.0000 5.8329 0.0000 -2.9165 -2.9165 8.8530" Properties=species:S:1:pos:R:3 pbc="T T T"
Ac 0.0000 2.9165 0.0000
Ac 2.9165 0.0000 0.0000
Ac 0.0000 0.0000 3.1613
Ac 2.9165 2.9165 5.6918
Pb 0.0000 0.0000 6.5530
Pb 2.9165 2.9165 2.3000
Ge 0.0000 0.0000 0.0000
```

Here is an optimized crystal structure of Ac12GePb6 from Alexandria. Energies are from PBE.

Summary:
**Symmetry**: R-3, No. 148
**E**: -82.0 eV per cell

Geometry as extended XYZ:
```
19
Lattice="9.5685 -0.0375 -0.0450 -1.4877 9.4522 -0.0450 -1.4877 -1.7333 9.2920" Properties=species:S:1:pos:R:3 pbc="T T T"
Pb 5.4450 2.6476 1.1044
Pb 4.8015 7.6282 3.3144
Pb -0.2190 5.4750 2.8024
Pb 6.8121 2.2063 6.3997
Pb 1.1481 5.0337 8.0976
Pb 1.7915 0.0532 5.8877
Ac 4.4161 1.0465 3.9022
Ac 2.1770 6.6348 5.2998
Ac 2.9407 4.9188 1.7270
Ac -1.2963 8.6642 2.9544
Ac 5.0536 8.7567 0.1494
Ac 8.7605 2.9011 0.5596
Ac 3.6523 2.7626 7.4751
Ac 7.8893 -0.9828 6.2477
Ac 0.3649 3.0311 5.1482
Ac 1.5394 -1.0753 9.0527
Ac 6.2281 4.6503 4.0539
Ac -2.1675 4.7803 8.6424
Ge 0.0000 0.0000 0.0000
```

Here is an optimized crystal structure of Ac8Ge2Pb from Alexandria. Energies are from PBE.

Summary:
**Symmetry**: C2/m, No. 12
**E**: -48.9 eV per cell

Geometry as extended XYZ:
```
11
Lattice="6.3011 0.0225 0.0337 -1.0114 8.6568 -0.2463 -1.0114 -3.5614 7.8941" Properties=species:S:1:pos:R:3 pbc="T T T"
Ac 0.5996 3.1423 4.7163
Ac 2.1392 -0.5413 5.9063
Ac 2.1392 5.6591 1.7752
Ac 0.3143 -0.5145 2.5409
Ac 3.9640 5.6323 5.1406
Ac 3.6787 1.9756 2.9652
Ac 3.9640 2.5748 7.1777
Ac 0.3143 2.5430 0.5038
Pb 3.1505 0.0112 0.0169
Ge -1.0114 4.8749 2.2734
Ge -1.0114 0.2205 5.3744
```

Here is an optimized crystal structure of AcGePb2 from Alexandria. Energies are from PBE.

Summary:
**Symmetry**: P4/mmm, No. 123
**Energy relative to the lowest polymorph listed for this composition**: 0.206 eV/atom

Geometry as extended XYZ:
```
4
Lattice="4.1425 0.0000 0.0000 0.0000 4.1425 0.0000 0.0000 0.0000 7.0649" Properties=species:S:1:pos:R:3 pbc="T T T"
Ac 2.0712 2.0712 3.5324
Pb 0.0000 0.0000 5.5696
Pb 0.0000 0.0000 1.4953
Ge 2.0712 2.0712 0.0000
```

Here is an optimized crystal structure of Ac4GePb from Alexandria. Energies are from PBE.

Summary:
**Symmetry**: P2_1/c, No. 14
**E**: -52.9 eV per cell

Geometry as extended XYZ:
```
12
Lattice="7.9252 0.0000 0.0257 0.0000 7.9570 0.0000 -0.0949 0.0000 8.0693" Properties=species:S:1:pos:R:3 pbc="T T T"
Ac 2.5568 2.6558 2.8537
Ac 5.2735 5.3011 5.2413
Ac 6.7759 5.1792 1.4160
Ac 1.0543 2.7777 6.6790
Ac 1.3109 6.6343 5.2285
Ac 5.0169 1.2007 6.6918
Ac 2.8134 6.7562 1.4032
Ac 6.5194 1.3226 2.8666
Pb 0.0000 0.0000 0.0000
Pb 3.9626 3.9785 0.0128
Ge -0.0475 3.9785 4.0347
Ge 3.9151 0.0000 4.0475
```

Here is an optimized crystal structure of Ac7GePb2 from Alexandria. Energies are from PBE.

Summary:
**Symmetry**: Fm-3m, No. 225
**E**: -38.0 eV per cell

Geometry as extended XYZ:
```
10
Lattice="8.6150 0.0000 0.0000 4.3075 7.4608 0.0000 4.3075 2.4869 7.0341" Properties=species:S:1:pos:R:3 pbc="T T T"
Ac 6.3884 3.6883 5.3350
Ac 6.3884 6.2594 1.6990
Ac 10.8415 3.6883 5.3350
Ac 8.6150 4.9738 3.5170
Ac 10.8415 6.2594 1.6990
Ac 8.6150 2.4028 1.6990
Ac 8.6150 7.5449 5.3350
Pb 12.9224 7.4608 5.2756
Pb 4.3075 2.4869 1.7585
Ge 0.0000 0.0000 0.0000
```

Here is an optimized crystal structure of Ac6Ge5Pb from Alexandria. Energies are from PBE.

Summary:
**Symmetry**: C2/m, No. 12
**E**: -57.6 eV per cell

Geometry as extended XYZ:
```
12
Lattice="-0.9833 4.6547 6.3538 -2.7567 -4.5161 6.2601 5.1214 -3.5348 5.0712" Properties=species:S:1:pos:R:3 pbc="T T T"
Ge -1.8700 0.0693 6.3069
Ge -1.2345 -2.5843 10.0384
Ge 2.6159 -0.8118 7.6467
Ge 1.5068 -5.3535 7.5334
Ge 0.8579 -2.6973 3.7979
Pb 0.0000 0.0000 0.0000
Ac 1.3837 -0.8459 10.7403
Ac 0.8248 1.7926 7.0317
Ac -0.0023 -2.5502 6.9449
Ac -0.9893 -0.0320 3.2914
Ac 0.5566 -5.1887 10.6535
Ac -2.7507 0.1707 9.3224
```

Here is an optimized crystal structure of Ac6Ge3Pb from Alexandria. Energies are from PBE.

Summary:
**Symmetry**: Cmc2_1, No. 36
**E**: -93.9 eV per cell

Geometry as extended XYZ:
```
20
Lattice="-4.3748 -6.0413 3.1737 6.4581 -6.5104 -3.4907 3.4592 2.1807 8.9194" Properties=species:S:1:pos:R:3 pbc="T T T"
Ac 5.1231 -2.5913 7.2420
Ac 3.6650 -6.5276 6.2657
Ac 3.1280 -11.0598 -1.0355
Ac 4.2429 -9.4004 3.4194
Ac 5.3360 -5.0265 -0.2573
Ac 6.1047 -4.2382 3.6347
Ac 1.3263 -0.9337 5.1636
Ac 0.4461 -7.7428 1.3411
Ac 2.3395 0.5852 9.6923
Ac 1.5675 -3.4650 7.8724
Ac 2.6757 -2.7412 1.7577
Ac 0.2360 -5.0306 4.3887
Ge 1.4325 -8.0902 4.4302
Ge -2.7973 -5.8457 5.3375
Ge 3.5279 -8.6072 8.7999
Ge 3.1264 -3.6391 4.8858
Ge -0.0109 -4.5609 1.2720
Ge 6.3143 -7.3224 4.7344
Pb 3.7333 -7.8888 0.3878
Pb -0.3386 -5.4482 9.7728
```

Number 1: size of the total moment 0.482 μB/atom. Number 2: size of the total moment 0.000 μB/atom. Number 3: size of the total moment 0.347 μB/atom. Number 4: size of the total moment 0.000 μB/atom. Number 5: size of the total moment 0.000 μB/atom. Number 6: size of the total moment 0.000 μB/atom. Number 7: size of the total moment 0.000 μB/atom. Number 8: size of the total moment 0.000 μB/atom. Number 9: size of the total moment 0.000 μB/atom. Number 10: size of the total moment 0.000 μB/atom. Number 11: size of the total moment 0.000 μB/atom. Number 12: size of the total moment 0.000 μB/atom.